1.
Computed, not measured: a geometry-optimized CaSi2Os structure at the PBE level of DFT. Values from VASP.

Cell and atoms, written as Quantum ESPRESSO input:
```
&SYSTEM
  ibrav = 0, nat = 4, ntyp = 3
/
ATOMIC_SPECIES
Ca 40.08 Ca.upf
Si 28.09 Si.upf
Os 190.23 Os.upf
CELL_PARAMETERS angstrom
-0.030 0.490 3.120
1.125 -4.005 -0.959
5.243 2.655 -0.361
ATOMIC_POSITIONS crystal
Ca 0.000 0.000 0.500
Si 0.233 0.466 0.164
Si 0.767 0.534 0.836
Os 0.500 0.000 0.000
```

Properties
Its energy relative to the elements, uncorrected is -34 kJ per mole of atoms. Its space group is C2/m (12).

=====

2.
Computed, not measured: a geometry-optimized Sm3Rh8Pb structure at the PBE level of DFT. Values from VASP.

Cell and atoms, written as Quantum ESPRESSO input:
```
&SYSTEM
  ibrav = 0, nat = 12, ntyp = 3
/
ATOMIC_SPECIES
Sm 150.36 Sm.upf
Rh 102.91 Rh.upf
Pb 207.20 Pb.upf
CELL_PARAMETERS angstrom
-1.115 5.247 0.078
-4.970 1.669 1.136
0.038 2.618 8.983
ATOMIC_POSITIONS crystal
Sm 0.376 0.376 0.873
Sm 0.996 0.996 0.011
Sm 0.503 0.503 0.490
Rh 0.939 0.437 0.186
Rh 0.438 0.937 0.689
Rh 0.437 0.437 0.186
Rh 0.937 0.937 0.689
Rh 0.188 0.188 0.437
Rh 0.687 0.687 0.938
Rh 0.437 0.939 0.186
Rh 0.937 0.438 0.689
Pb 0.874 0.874 0.379
```

Properties
As for the formation energy: -0.5446 eV per atom. Its space group is R3m (160).

=====

3.
Computed, not measured: a geometry-optimized FeCuSiIr structure at the PBE level of DFT. Values from VASP.

Cell and atoms, written as Quantum ESPRESSO input:
```
&SYSTEM
  ibrav = 0, nat = 4, ntyp = 4
/
ATOMIC_SPECIES
Si 28.09 Si.upf
Ir 192.22 Ir.upf
Fe 55.84 Fe.upf
Cu 63.55 Cu.upf
CELL_PARAMETERS angstrom
-0.584 1.313 -3.847
-1.021 -2.670 -2.948
-3.782 0.054 -1.599
ATOMIC_POSITIONS crystal
Si 0.000 0.000 0.000
Ir 0.750 0.750 0.750
Fe 0.250 0.250 0.250
Cu 0.500 0.500 0.500
```

Properties
Its energy relative to the elements, uncorrected is -20 kJ per mole of atoms. Its space group is F-43m (216).

=====

4.
Computed, not measured: a geometry-optimized MgPIr3 structure at the PBE level of DFT. Values from VASP.

Cell and atoms, written as Quantum ESPRESSO input:
```
&SYSTEM
  ibrav = 0, nat = 5, ntyp = 3
/
ATOMIC_SPECIES
P 30.97 P.upf
Mg 24.30 Mg.upf
Ir 192.22 Ir.upf
CELL_PARAMETERS angstrom
-0.178 2.499 3.628
-4.394 -0.359 0.031
0.313 -3.615 2.505
ATOMIC_POSITIONS crystal
P 0.000 0.000 0.000
Mg 0.500 0.500 0.500
Ir 0.000 0.500 0.000
Ir 0.000 0.000 0.500
Ir 0.500 0.000 0.000
```

Properties
As for the formation energy: 0.1127 eV per atom. Its energy above the most stable polymorph in this dataset is 0.000 eV/atom. Its space group is Pm-3m (221).

=====

5.
Computed, not measured: a geometry-optimized Y2Ga3Cu5 structure at the PBE level of DFT. Values from VASP.

Cell and atoms, written as Quantum ESPRESSO input:
```
&SYSTEM
  ibrav = 0, nat = 20, ntyp = 3
/
ATOMIC_SPECIES
Y 88.91 Y.upf
Ga 69.72 Ga.upf
Cu 63.55 Cu.upf
CELL_PARAMETERS angstrom
-2.028 -4.778 -2.443
5.782 -5.863 -0.081
-4.026 -4.573 5.539
ATOMIC_POSITIONS crystal
Y 0.261 0.865 0.613
Y 0.239 0.387 0.135
Y 0.739 0.135 0.387
Y 0.761 0.613 0.865
Ga 0.125 0.243 0.507
Ga 0.375 0.493 0.757
Ga 0.875 0.757 0.493
Ga 0.625 0.507 0.243
Ga 0.250 0.000 0.000
Ga 0.750 0.000 0.000
Cu 0.354 0.026 0.265
Cu 0.146 0.735 0.974
Cu 0.646 0.974 0.735
Cu 0.854 0.265 0.026
Cu 0.250 0.236 0.764
Cu 0.750 0.764 0.236
Cu 0.250 0.501 0.499
Cu 0.750 0.499 0.501
Cu 0.250 0.764 0.236
Cu 0.750 0.236 0.764
```

Properties
As for the formation energy: -0.3601 eV per atom. Its energy above the most stable polymorph in this dataset is 0.000 eV/atom. Its space group is C2/c (15).

=====

6.
Computed, not measured: a geometry-optimized SrCaTb2Se4 structure at the PBE level of DFT. Values from VASP.

Cell and atoms, written as Quantum ESPRESSO input:
```
&SYSTEM
  ibrav = 0, nat = 8, ntyp = 4
/
ATOMIC_SPECIES
Sr 87.62 Sr.upf
Ca 40.08 Ca.upf
Tb 158.93 Tb.upf
Se 78.96 Se.upf
CELL_PARAMETERS angstrom
4.169 0.000 0.000
0.000 7.369 -0.198
0.000 2.541 6.755
ATOMIC_POSITIONS crystal
Sr 0.500 0.500 0.000
Ca 0.000 0.500 0.500
Tb 0.000 0.000 0.000
Tb 0.500 0.000 0.500
Se 0.000 0.763 0.740
Se 0.000 0.237 0.260
Se 0.500 0.759 0.253
Se 0.500 0.241 0.747
```

Properties
Its energy relative to the elements, uncorrected is -181 kJ per mole of atoms. Its space group is P2/m (10).

=====

| no. | N(E_F) (states/eV per cell) | magnetization (μB per atom) |
| --- | --- | --- |
| 1 | 1.677 | 0.000 |
| 2 | 8.521 | 0.000 |
| 3 | 3.456 | 0.371 |
| 4 | 0.537 | 0.000 |
| 5 | 9.882 | 0.000 |
| 6 | 3.486 | 0.000 |